Record 1
Material: TaCdW2
Method: DFT, PBE
State: optimized geometry

Computed properties:
**Total magnetic moment**: 0.0 μB/f.u.
**E_tot**: -37.1 eV per formula unit
**Formation energy**: 401 meV per atom

Structure (CIF):
```
data_TaCdW2
_chemical_formula_sum 'Ta2 Cd2 W4'
_symmetry_space_group_name_H-M 'I m m 2'
_symmetry_Int_Tables_number 44
_symmetry_space_group_name_Hall 'I 2 -2'
_cell_length_a 3.3577
_cell_length_b 4.6083
_cell_length_c 9.1077
_cell_angle_alpha 90.00
_cell_angle_beta 90.00
_cell_angle_gamma 90.00
loop_
_atom_site_label
_atom_site_type_symbol
_atom_site_fract_x
_atom_site_fract_y
_atom_site_fract_z
Ta1 Ta 0.0000 0.0000 0.0000
Cd1 Cd 0.0000 0.5000 0.2314
W1 W 0.0000 0.0000 0.4679
W2 W 0.0000 0.5000 0.7448
```


Record 2
Material: TaCd2W
Method: DFT, PBE
State: optimized geometry

Computed properties:
**Total magnetic moment**: 0.0 μB/f.u.
**E_tot**: -24.8 eV per formula unit
**Formation energy**: 457 meV per atom
**Energy relative to the lowest polymorph listed for this composition**: 213 meV per atom

Structure (CIF):
```
data_TaCd2W
_chemical_formula_sum 'Ta2 Cd4 W2'
_symmetry_space_group_name_H-M 'I 4/m m m'
_symmetry_Int_Tables_number 139
_symmetry_space_group_name_Hall '-I 4 2'
_cell_length_a 3.9753
_cell_length_b 3.9753
_cell_length_c 9.2903
_cell_angle_alpha 90.00
_cell_angle_beta 90.00
_cell_angle_gamma 90.00
loop_
_atom_site_label
_atom_site_type_symbol
_atom_site_fract_x
_atom_site_fract_y
_atom_site_fract_z
Ta1 Ta 0.0000 0.0000 0.0000
Cd1 Cd 0.0000 0.5000 0.2500
W1 W 0.0000 0.0000 0.5000
```


Record 3
Material: Ta2CdW
Method: DFT, PBE
State: optimized geometry

Computed properties:
**Total magnetic moment**: 0.0 μB/f.u.
**E_tot**: -36.0 eV per formula unit
**Formation energy**: 385 meV per atom

Structure (CIF):
```
data_Ta2CdW
_chemical_formula_sum 'Ta2 Cd1 W1'
_symmetry_space_group_name_H-M 'P m m 2'
_symmetry_Int_Tables_number 25
_symmetry_space_group_name_Hall 'P 2 -2'
_cell_length_a 2.7715
_cell_length_b 4.5239
_cell_length_c 5.8352
_cell_angle_alpha 90.00
_cell_angle_beta 90.00
_cell_angle_gamma 90.00
loop_
_atom_site_label
_atom_site_type_symbol
_atom_site_fract_x
_atom_site_fract_y
_atom_site_fract_z
Ta1 Ta 0.0000 0.0000 0.0000
Ta2 Ta 0.5000 0.5000 0.2489
Cd1 Cd 0.5000 0.5000 0.7430
W1 W 0.0000 0.0000 0.4777
```


Record 4
Material: TaCd2W
Method: DFT, PBE
State: optimized geometry

Computed properties:
**Total magnetic moment**: 0.0 μB/f.u.
**E_tot**: -23.4 eV per formula unit
**Formation energy**: 803 meV per atom
**Energy relative to the lowest polymorph listed for this composition**: 560 meV per atom

Structure (CIF):
```
data_TaCd2W
_chemical_formula_sum 'Ta1 Cd2 W1'
_symmetry_space_group_name_H-M 'P 4/m m m'
_symmetry_Int_Tables_number 123
_symmetry_space_group_name_Hall '-P 4 2'
_cell_length_a 3.6369
_cell_length_b 3.6369
_cell_length_c 5.6262
_cell_angle_alpha 90.00
_cell_angle_beta 90.00
_cell_angle_gamma 90.00
loop_
_atom_site_label
_atom_site_type_symbol
_atom_site_fract_x
_atom_site_fract_y
_atom_site_fract_z
Ta1 Ta 0.0000 0.0000 0.0000
Cd1 Cd 0.5000 0.5000 0.2535
W1 W 0.0000 0.0000 0.5000
```


Record 5
Material: Ta2CdW
Method: DFT, PBE
State: optimized geometry

Computed properties:
**Total magnetic moment**: 0.0 μB/f.u.
**E_tot**: -36.4 eV per formula unit
**Formation energy**: 298 meV per atom

Structure (CIF):
```
data_Ta2CdW
_chemical_formula_sum 'Ta4 Cd2 W2'
_symmetry_space_group_name_H-M 'C 1 2/m 1'
_symmetry_Int_Tables_number 12
_symmetry_space_group_name_Hall '-C 2y'
_cell_length_a 5.8062
_cell_length_b 9.3422
_cell_length_c 2.7685
_cell_angle_alpha 90.00
_cell_angle_beta 106.84
_cell_angle_gamma 90.00
loop_
_atom_site_label
_atom_site_type_symbol
_atom_site_fract_x
_atom_site_fract_y
_atom_site_fract_z
Ta1 Ta 0.2500 0.2500 0.0000
Cd1 Cd 0.0000 0.0000 0.5000
W1 W 0.0000 0.5000 0.5000
```


Record 6
Material: TaCdW2
Method: DFT, PBE
State: optimized geometry

Computed properties:
**Total magnetic moment**: 0.0 μB/f.u.
**E_tot**: -36.8 eV per formula unit
**Formation energy**: 459 meV per atom

Structure (CIF):
```
data_TaCdW2
_chemical_formula_sum 'Ta1 Cd1 W2'
_symmetry_space_group_name_H-M 'P 4/m m m'
_symmetry_Int_Tables_number 123
_symmetry_space_group_name_Hall '-P 4 2'
_cell_length_a 3.3669
_cell_length_b 3.3669
_cell_length_c 6.2636
_cell_angle_alpha 90.00
_cell_angle_beta 90.00
_cell_angle_gamma 90.00
loop_
_atom_site_label
_atom_site_type_symbol
_atom_site_fract_x
_atom_site_fract_y
_atom_site_fract_z
Ta1 Ta 0.0000 0.0000 0.0000
Cd1 Cd 0.0000 0.0000 0.5000
W1 W 0.5000 0.5000 0.2248
```


Record 7
Material: Ta2CdW
Method: DFT, PBE
State: optimized geometry

Computed properties:
**Total magnetic moment**: 0.0 μB/f.u.
**E_tot**: -36.4 eV per formula unit
**Formation energy**: 296 meV per atom

Structure (CIF):
```
data_Ta2CdW
_chemical_formula_sum 'Ta2 Cd1 W1'
_symmetry_space_group_name_H-M 'P 4/m m m'
_symmetry_Int_Tables_number 123
_symmetry_space_group_name_Hall '-P 4 2'
_cell_length_a 2.7917
_cell_length_b 2.7917
_cell_length_c 9.3857
_cell_angle_alpha 90.00
_cell_angle_beta 90.00
_cell_angle_gamma 90.00
loop_
_atom_site_label
_atom_site_type_symbol
_atom_site_fract_x
_atom_site_fract_y
_atom_site_fract_z
Ta1 Ta 0.0000 0.0000 0.2417
Cd1 Cd 0.5000 0.5000 0.5000
W1 W 0.5000 0.5000 0.0000
```


Record 8
Material: TaCdW2
Method: DFT, PBE
State: optimized geometry

Computed properties:
**Total magnetic moment**: 0.0 μB/f.u.
**E_tot**: -37.3 eV per formula unit
**Formation energy**: 339 meV per atom

Structure (CIF):
```
data_TaCdW2
_chemical_formula_sum 'Ta1 Cd1 W2'
_symmetry_space_group_name_H-M 'P 1 m 1'
_symmetry_Int_Tables_number 6
_symmetry_space_group_name_Hall 'P -2y'
_cell_length_a 2.7706
_cell_length_b 4.5768
_cell_length_c 5.6783
_cell_angle_alpha 90.00
_cell_angle_beta 102.34
_cell_angle_gamma 90.00
loop_
_atom_site_label
_atom_site_type_symbol
_atom_site_fract_x
_atom_site_fract_y
_atom_site_fract_z
Ta1 Ta 0.0000 0.0000 0.0000
Cd1 Cd 0.2890 0.5000 0.7366
W1 W 0.5128 0.0000 0.4645
W2 W 0.7314 0.5000 0.2462
```